# TaFe2Mo

TaFe2Mo at its PBEsol-relaxed geometry (meta-GGA SCAN, Alexandria via LeMat-Bulk).

Cell: 3.0434 3.0434 5.8877 Å, 90.00 90.00 90.00°
Closest atoms and distances in Å follow each position.
Fractional positions:
Fe (0.0000, 0.0000, 0.0105)  4 Fe 2.55, 4 Ta 2.57, 1 Mo 2.72
Fe (0.5000, 0.5000, 0.2443)  4 Mo 2.54, 4 Fe 2.55, 1 Ta 2.78
Mo (0.0000, 0.0000, 0.4731)  5 Fe 2.54-2.72, 4 Ta 2.78
Ta (0.5000, 0.5000, 0.7721)  5 Fe 2.57-2.78, 4 Mo 2.78

---

# Fe2TcMo

Fe2TcMo at its PBEsol-relaxed geometry (meta-GGA SCAN, Alexandria via LeMat-Bulk).

Output
Energy above the lowest structure with this stoichiometry (meV per atom): 30.9

Cell: 3.0116 4.1617 4.8514 Å, 115.40 108.08 90.00°
Closest atoms and distances in Å follow each position.
Fractional positions:
Fe (0.0059, 0.0059, 0.0117)  2 Fe 2.47, 4 Mo 2.57, 2 Tc 2.57
Fe (0.7445, 0.2445, 0.4889)  2 Fe 2.47, 2 Mo 2.57, 4 Tc 2.57
Mo (0.4974, 0.4974, 0.9947)  6 Fe 2.57, 2 Tc 2.58
Tc (0.2523, 0.7523, 0.5047)  6 Fe 2.57, 2 Mo 2.58

---

# Fe2TcMo

Fe2TcMo at its PBEsol-relaxed geometry (meta-GGA SCAN, Alexandria via LeMat-Bulk).

Output
Energy above the lowest structure with this stoichiometry (meV per atom): 297.4

Cell: 2.6240 2.6240 8.5515 Å, 81.17 81.17 60.00°
Closest atoms and distances in Å follow each position.
Fractional positions:
Fe (0.2519, 0.2519, 0.2444)  3 Tc 2.55, 6 Fe 2.62, 3 Mo 2.63
Fe (0.7481, 0.7481, 0.7556)  3 Tc 2.55, 6 Fe 2.62, 3 Mo 2.63
Mo (0.5000, 0.5000, 0.5000)  6 Mo 2.62, 6 Fe 2.63
Tc (0.0000, 0.0000, 0.0000)  6 Fe 2.55, 6 Tc 2.62

---

# FeTcMo

FeTcMo at its PBEsol-relaxed geometry (meta-GGA SCAN, Alexandria via LeMat-Bulk).

Output
Energy above the lowest structure with this stoichiometry (meV per atom): 0.0

Cell: 2.5793 4.2751 4.2751 Å, 120.00 90.00 90.00°
Closest atoms and distances in Å follow each position.
Fractional positions:
Mo (0.6589, 0.6667, 0.3333)  2 Mo 2.58, 3 Tc 2.60, 3 Fe 2.62
Tc (0.3438, 0.3333, 0.6667)  2 Tc 2.58, 3 Mo 2.60, 3 Fe 2.63
Fe (0.9973, 0.0000, 0.0000)  2 Fe 2.58, 3 Mo 2.62, 3 Tc 2.63

---

# FeTcMo

FeTcMo at its PBEsol-relaxed geometry (meta-GGA SCAN, Alexandria via LeMat-Bulk).

Output
Energy above the lowest structure with this stoichiometry (meV per atom): 265.7

Cell: 2.6603 2.6603 6.5659 Å, 90.00 90.00 120.00°
Closest atoms and distances in Å follow each position.
Fractional positions:
Fe (0.0000, 0.0000, 0.0083)  3 Tc 2.53, 3 Mo 2.66, 6 Fe 2.66
Mo (0.3333, 0.6667, 0.6781)  3 Fe 2.66, 6 Mo 2.66, 3 Tc 2.84
Tc (0.6667, 0.3333, 0.3136)  3 Fe 2.53, 6 Tc 2.66

---

# FeTcMo2

FeTcMo2 at its PBEsol-relaxed geometry (meta-GGA SCAN, Alexandria via LeMat-Bulk).

Cell: 2.6352 2.6352 8.0308 Å, 90.00 90.00 100.67°
Closest atoms and distances in Å follow each position.
Fractional positions:
Fe (0.5000, 0.5000, 0.2603)  4 Tc 2.38-2.64, 2 Mo 2.52, 4 Fe 2.64
Mo (0.0000, 0.0000, 0.0258)  4 Fe 2.52-2.77, 6 Mo 2.64-2.82
Mo (0.5000, 0.5000, 0.7440)  6 Mo 2.64-2.82, 2 Tc 2.77
Tc (0.0000, 0.0000, 0.4699)  4 Fe 2.38-2.64, 4 Tc 2.64

---

no.,magnetic moment (μB per atom),formation energy from the elements (eV/f.u.),theoretical density (g cm⁻³)
1,0.829,-0.02,11.83
2,1.318,0.21,9.84
3,0.993,1.28,10.11
4,0.983,0.06,10.16
5,0.588,0.85,10.31
6,0.390,0.75,10.48